# Rb3PuPa2N6 PBE relaxed
# Size of the total moment, μB/cell: 6.00
# E_tot, eV/atom: -8.14
# E_form (uncorrected), eV per atom: -0.9634
# N(E_F), states/eV per cell: 16.21
data_Rb3PuPa2N6
_symmetry_space_group_name_H-M 'C 1 2/m 1'
_symmetry_Int_Tables_number 12
_cell_length_a 6.2376
_cell_length_b 10.8019
_cell_length_c 7.0314
_cell_angle_alpha 90.00
_cell_angle_beta 107.20
_cell_angle_gamma 90.00
loop_
_symmetry_equiv_pos_as_xyz
'x,y,z'
'-x,-y,-z'
'-x,y,-z'
'x,-y,z'
'x+1/2,y+1/2,z'
'-x+1/2,-y+1/2,-z'
'-x+1/2,y+1/2,-z'
'x+1/2,-y+1/2,z'
loop_
_atom_site_label
_atom_site_fract_x
_atom_site_fract_y
_atom_site_fract_z
Rb1 0.0000 0.0000 0.0000
Rb2 0.0000 0.3350 0.0000
Pu1 0.0000 0.5000 0.5000
Pa1 0.0000 0.1667 0.5000
N1 0.2148 0.3353 0.6503
N2 0.2204 0.0000 0.6503